No. 1
Compound: Tl7Cd3
Source: Alexandria via LeMat-Bulk
Functional: PBE-GGA
Structure: optimized geometry

Calculated values
ΔE_f: 0.046 eV per atom

```
Tl7Cd3
1.0
-1.542 1.372 5.235
-5.060 -4.395 -0.339
6.959 -4.788 0.281
Tl Cd
7 3
direct
0.000 0.500 0.000
0.199 0.269 0.398
0.801 0.731 0.602
0.393 0.095 0.785
0.607 0.905 0.215
0.402 0.603 0.803
0.598 0.397 0.197
0.000 0.000 0.000
0.198 0.763 0.396
0.802 0.237 0.604
```


No. 2
Compound: ErLuAl
Source: Alexandria via LeMat-Bulk
Functional: PBE-GGA
Structure: optimized geometry

Calculated values
excess energy over the best structure of this formula in the dataset: 0.000 eV per atom
ΔE_f: -0.264 eV per atom

```
ErLuAl
1.0
-2.828 0.353 1.840
-1.442 -2.536 -1.731
4.455 -3.225 4.338
Lu Al Er
1 1 1
direct
0.266 0.266 0.533
0.618 0.618 0.235
0.966 0.966 0.932
```


No. 3
Compound: CsNaBi2
Source: Alexandria via LeMat-Bulk
Functional: PBE-GGA
Structure: optimized geometry

Calculated values
excess energy over the best structure of this formula in the dataset: 0.028 eV per atom
ΔE_f: -0.243 eV per atom

```
CsNaBi2
1.0
-4.123 1.321 -0.788
-1.506 -3.015 2.830
0.582 5.498 6.167
Cs Na Bi
1 1 2
direct
0.500 0.500 0.500
0.500 0.500 0.000
0.000 0.000 0.824
0.000 0.000 0.176
```


No. 4
Compound: La7NdY3
Source: Alexandria via LeMat-Bulk
Functional: PBE-GGA
Structure: optimized geometry

Calculated values
excess energy over the best structure of this formula in the dataset: 0.056 eV per atom
ΔE_f: 0.173 eV per atom

```
La7NdY3
1.0
-3.794 -7.647 -1.764
2.392 0.408 -6.914
4.128 -3.229 5.121
La Nd Y
7 1 3
direct
0.102 0.164 0.836
0.102 0.164 0.329
0.133 0.667 0.333
0.463 0.836 0.164
0.463 0.329 0.164
0.463 0.836 0.671
0.102 0.671 0.836
0.437 0.333 0.667
0.783 0.500 0.500
0.783 0.500 0.000
0.783 0.000 0.500
```


No. 5
Compound: SrY2Ir
Source: Alexandria via LeMat-Bulk
Functional: PBE-GGA
Structure: optimized geometry

Calculated values
excess energy over the best structure of this formula in the dataset: 0.107 eV per atom
ΔE_f: -0.293 eV per atom

```
SrY2Ir
1.0
6.505 0.014 0.000
2.803 5.870 0.000
-3.881 -4.164 3.148
Ir Sr Y
1 1 2
direct
0.750 0.250 0.500
0.250 0.750 0.500
0.934 0.934 0.000
0.566 0.566 0.000
```


No. 6
Compound: Tl3Cr2SbSe6
Source: Alexandria via LeMat-Bulk
Functional: PBE-GGA
Structure: optimized geometry

Calculated values
E_form (uncorrected): -0.4273 eV per atom

```
Tl3Cr2SbSe6
1.0
-5.754 0.257 3.555
1.800 -5.750 -3.085
5.123 -0.356 6.151
Tl Cr Sb Se
3 2 1 6
direct
0.157 0.843 0.500
0.843 0.157 0.500
0.500 0.500 0.500
0.333 0.667 0.000
0.667 0.333 0.000
0.000 0.000 0.000
0.937 0.576 0.813
0.699 0.699 0.182
0.063 0.424 0.187
0.576 0.937 0.813
0.301 0.301 0.818
0.424 0.063 0.187
```


No. 7
Compound: K2LaSmO4
Source: Alexandria via LeMat-Bulk
Functional: PBE-GGA
Structure: optimized geometry

Calculated values
E_form (uncorrected): -2.6610 eV per atom

```
K2LaSmO4
1.0
-0.109 1.043 3.503
6.096 -1.584 0.661
-0.340 6.353 -1.901
K La Sm O
2 1 1 4
direct
0.500 0.000 0.500
0.000 0.500 0.500
0.500 0.500 0.000
0.000 0.000 0.000
0.500 0.224 0.190
0.500 0.776 0.810
0.000 0.263 0.810
0.000 0.737 0.190
```


No. 8
Compound: NdTi2H
Source: Alexandria via LeMat-Bulk
Functional: PBE-GGA
Structure: optimized geometry

Calculated values
E_tot: -23.201 eV per cell

```
NdTi2H
1.0
-1.681 -1.245 2.270
1.354 -0.824 2.649
-1.532 6.804 4.696
H Nd Ti
1 1 2
direct
0.500 0.500 0.500
0.000 0.000 0.000
0.122 0.122 0.635
0.878 0.878 0.365
```


No. 9
Compound: Tl2NCl
Source: Alexandria via LeMat-Bulk
Functional: PBE-GGA
Structure: optimized geometry

Calculated values
excess energy over the best structure of this formula in the dataset: 0.000 eV per atom
E_form (uncorrected): 0.2235 eV per atom

```
Tl2NCl
1.0
-3.397 1.945 -0.048
-3.455 -6.077 -1.635
0.144 0.432 7.280
Tl N Cl
4 2 2
direct
0.778 0.553 0.216
0.278 0.112 0.269
0.278 0.633 0.887
0.778 0.074 0.835
0.778 0.764 0.997
0.278 0.422 0.106
0.278 0.827 0.548
0.778 0.359 0.556
```


No. 10
Compound: ZrPaSnO6
Source: Alexandria via LeMat-Bulk
Functional: PBE-GGA
Structure: optimized geometry

Calculated values
E_form (uncorrected): -2.7056 eV per atom

```
ZrPaSnO6
1.0
-4.463 0.074 -3.589
-0.821 -1.050 5.570
-1.091 9.048 1.544
Zr Pa Sn O
2 2 2 12
direct
0.667 0.333 0.250
0.333 0.667 0.750
0.333 0.667 0.250
0.667 0.333 0.750
0.000 0.000 0.000
0.000 0.000 0.500
0.658 0.650 0.133
0.992 0.342 0.133
0.342 0.992 0.633
0.008 0.658 0.867
0.350 0.342 0.367
0.992 0.650 0.367
0.650 0.992 0.867
0.658 0.008 0.367
0.008 0.350 0.633
0.350 0.008 0.133
0.650 0.658 0.633
0.342 0.350 0.867
```


No. 11
Compound: ZrInTe2
Source: Alexandria via LeMat-Bulk
Functional: PBE-GGA
Structure: optimized geometry

Calculated values
E_form (uncorrected): -0.4987 eV per atom

```
ZrInTe2
1.0
-0.819 3.169 -8.185
3.007 -0.711 -8.256
-3.105 -2.990 7.690
In Te Zr
1 2 1
direct
0.290 0.790 0.500
0.976 0.976 0.000
0.682 0.182 0.500
0.551 0.551 0.000
```


No. 12
Compound: RbCl2F4
Source: Alexandria via LeMat-Bulk
Functional: PBE-GGA
Structure: optimized geometry

Calculated values
E_form (uncorrected): -1.1714 eV per atom

```
RbCl2F4
1.0
-2.620 1.693 6.871
-3.820 -1.439 -6.347
3.090 -6.752 1.320
F Rb Cl
8 2 4
direct
0.810 0.023 0.633
0.440 0.573 0.713
0.390 0.178 0.367
0.823 0.190 0.213
0.977 0.610 0.787
0.860 0.727 0.287
0.273 0.560 0.133
0.428 0.140 0.867
0.250 0.750 0.500
0.000 0.000 0.000
0.625 0.457 0.332
0.125 0.293 0.668
0.707 0.375 0.832
0.543 0.875 0.168
```


Number 1: DOS at the Fermi energy 4.622 states/eV per cell. Number 2: DOS at the Fermi energy 2.324 states/eV per cell. Number 3: DOS at the Fermi energy 2.910 states/eV per cell. Number 4: DOS at the Fermi energy 17.120 states/eV per cell. Number 5: DOS at the Fermi energy 3.578 states/eV per cell. Number 6: DOS at the Fermi energy 2.257 states/eV per cell. Number 7: DOS at the Fermi energy 0.000 states/eV per cell. Number 8: DOS at the Fermi energy 5.054 states/eV per cell. Number 9: DOS at the Fermi energy 0.682 states/eV per cell. Number 10: DOS at the Fermi energy 8.807 states/eV per cell. Number 11: DOS at the Fermi energy 3.381 states/eV per cell. Number 12: DOS at the Fermi energy 12.974 states/eV per cell.